# 1
Sr2MgS2 | PBEsol | relaxed

a = 6.737 Å, b = 6.737 Å, c = 6.737 Å
α = 128.86°, β = 128.86°, γ = 75.23°
Element x y z (fractional)
Sr (0.250, 0.750, 0.500)
Sr (0.750, 0.250, 0.500)
Mg (0.000, 0.000, 0.000)
S (0.229, 0.229, 0.000)
S (0.771, 0.771, 0.000)

Computed properties:
The symmetry is I4/mmm. The total energy is -20.16 eV per formula unit. The calculation puts the uncorrected formation energy at -1.199 eV per atom. Its magnetic moment is 0.61 μB/cell.


# 2
Tb2MgS4 | PBEsol | relaxed

a = 7.076 Å, b = 7.076 Å, c = 7.076 Å
α = 110.59°, β = 110.59°, γ = 107.25°
Element x y z (fractional)
Tb (0.003, 0.625, 0.878)
Tb (0.375, 0.253, 0.378)
Tb (0.747, 0.125, 0.122)
Tb (0.875, 0.997, 0.622)
Mg (0.250, 0.750, 0.500)
Mg (0.500, 0.500, 0.000)
S (0.123, 0.384, 0.121)
S (0.134, 0.373, 0.621)
S (0.263, 0.002, 0.879)
S (0.487, 0.866, 0.239)
S (0.616, 0.737, 0.739)
S (0.627, 0.248, 0.761)
S (0.752, 0.513, 0.379)
S (0.998, 0.877, 0.261)

Computed properties:
The symmetry is I-42d. The total energy is -42.53 eV per formula unit. The calculation puts the uncorrected formation energy at -1.894 eV per atom. Its magnetic moment is 0.00 μB/cell. For the energy above the most stable polymorph in this dataset, the calculation gives 25 meV per atom.


# 3
Tb2MgS4 | PBEsol | relaxed

a = 7.838 Å, b = 7.838 Å, c = 7.838 Å
α = 60.00°, β = 60.00°, γ = 60.00°
Element x y z (fractional)
Tb (0.000, 0.000, 0.000)
Tb (0.000, 0.000, 0.500)
Tb (0.000, 0.500, 0.000)
Tb (0.500, 0.000, 0.000)
Mg (0.375, 0.375, 0.375)
Mg (0.625, 0.625, 0.625)
S (0.236, 0.755, 0.755)
S (0.245, 0.245, 0.245)
S (0.245, 0.245, 0.764)
S (0.245, 0.764, 0.245)
S (0.755, 0.236, 0.755)
S (0.755, 0.755, 0.236)
S (0.755, 0.755, 0.755)
S (0.764, 0.245, 0.245)

Computed properties:
The symmetry is Fd-3m. The total energy is -42.48 eV per formula unit. The calculation puts the uncorrected formation energy at -1.887 eV per atom. Its magnetic moment is 0.00 μB/cell. For the energy above the most stable polymorph in this dataset, the calculation gives 31 meV per atom.


# 4
Tb2MgS4 | PBEsol | relaxed

a = 6.461 Å, b = 6.461 Å, c = 12.747 Å
α = 90.00°, β = 90.00°, γ = 146.16°
Element x y z (fractional)
Tb (0.119, 0.881, 0.500)
Tb (0.362, 0.638, 0.298)
Tb (0.638, 0.362, 0.798)
Tb (0.881, 0.119, 0.000)
Mg (0.374, 0.626, 0.662)
Mg (0.626, 0.374, 0.162)
S (0.013, 0.987, 0.709)
S (0.260, 0.740, 0.110)
S (0.291, 0.709, 0.852)
S (0.463, 0.537, 0.484)
S (0.537, 0.463, 0.984)
S (0.709, 0.291, 0.352)
S (0.740, 0.260, 0.610)
S (0.987, 0.013, 0.209)

Computed properties:
The symmetry is Cmc2_1. The total energy is -42.70 eV per formula unit. The calculation puts the uncorrected formation energy at -1.919 eV per atom. Its magnetic moment is 0.00 μB/cell. For the energy above the most stable polymorph in this dataset, the calculation gives 0 meV per atom.


# 5
Tb2MgS4 | PBEsol | relaxed

a = 12.514 Å, b = 3.821 Å, c = 13.207 Å
α = 90.00°, β = 90.00°, γ = 90.00°
Element x y z (fractional)
Tb (0.118, 0.250, 0.077)
Tb (0.138, 0.250, 0.706)
Tb (0.362, 0.750, 0.206)
Tb (0.382, 0.750, 0.577)
Tb (0.618, 0.250, 0.423)
Tb (0.638, 0.250, 0.794)
Tb (0.862, 0.750, 0.294)
Tb (0.882, 0.750, 0.923)
Mg (0.113, 0.750, 0.451)
Mg (0.387, 0.250, 0.951)
Mg (0.613, 0.750, 0.049)
Mg (0.887, 0.250, 0.549)
S (0.008, 0.750, 0.616)
S (0.028, 0.250, 0.884)
S (0.225, 0.250, 0.252)
S (0.239, 0.250, 0.516)
S (0.261, 0.750, 0.016)
S (0.275, 0.750, 0.752)
S (0.472, 0.750, 0.384)
S (0.492, 0.250, 0.116)
S (0.508, 0.750, 0.884)
S (0.528, 0.250, 0.616)
S (0.725, 0.250, 0.248)
S (0.739, 0.250, 0.984)
S (0.761, 0.750, 0.484)
S (0.775, 0.750, 0.748)
S (0.972, 0.750, 0.116)
S (0.992, 0.250, 0.384)

Computed properties:
The symmetry is Pnma. The total energy is -42.24 eV per formula unit. The calculation puts the uncorrected formation energy at -1.852 eV per atom. Its magnetic moment is 0.00 μB/cell. For the energy above the most stable polymorph in this dataset, the calculation gives 66 meV per atom.


# 6
MgTc3S | PBEsol | relaxed

a = 4.318 Å, b = 4.318 Å, c = 4.318 Å
α = 90.00°, β = 90.00°, γ = 90.00°
Element x y z (fractional)
Mg (0.000, 0.000, 0.000)
Tc (0.000, 0.500, 0.500)
Tc (0.500, 0.000, 0.500)
Tc (0.500, 0.500, 0.000)
S (0.500, 0.500, 0.500)

Computed properties:
The symmetry is Pm-3m. The total energy is -38.41 eV per formula unit. The calculation puts the uncorrected formation energy at 0.297 eV per atom. Its magnetic moment is 0.00 μB/cell.


# 7
MgTi8S16 | PBEsol | relaxed

a = 9.722 Å, b = 13.725 Å, c = 6.888 Å
α = 90.00°, β = 90.00°, γ = 90.00°
Element x y z (fractional)
Mg (0.000, 0.000, 0.000)
Mg (0.500, 0.500, 0.500)
Ti (0.000, 0.000, 0.500)
Ti (0.000, 0.500, 0.500)
Ti (0.003, 0.257, 0.500)
Ti (0.245, 0.372, 0.243)
Ti (0.245, 0.372, 0.757)
Ti (0.255, 0.872, 0.257)
Ti (0.255, 0.872, 0.743)
Ti (0.497, 0.757, 0.000)
Ti (0.500, 0.000, 0.000)
Ti (0.500, 0.500, 0.000)
Ti (0.503, 0.243, 0.000)
Ti (0.745, 0.128, 0.257)
Ti (0.745, 0.128, 0.743)
Ti (0.755, 0.628, 0.243)
Ti (0.755, 0.628, 0.757)
Ti (0.997, 0.743, 0.500)
S (0.001, 0.624, 0.251)
S (0.001, 0.624, 0.749)
S (0.002, 0.872, 0.255)
S (0.002, 0.872, 0.745)
S (0.246, 0.498, 0.500)
S (0.247, 0.251, 0.500)
S (0.249, 0.998, 0.500)
S (0.250, 0.249, 0.000)
S (0.250, 0.749, 0.500)
S (0.251, 0.498, 0.000)
S (0.253, 0.751, 0.000)
S (0.254, 0.998, 0.000)
S (0.498, 0.372, 0.245)
S (0.498, 0.372, 0.755)
S (0.499, 0.124, 0.249)
S (0.499, 0.124, 0.751)
S (0.501, 0.876, 0.249)
S (0.501, 0.876, 0.751)
S (0.502, 0.628, 0.245)
S (0.502, 0.628, 0.755)
S (0.746, 0.002, 0.000)
S (0.747, 0.249, 0.000)
S (0.749, 0.502, 0.000)
S (0.750, 0.251, 0.500)
S (0.750, 0.751, 0.000)
S (0.751, 0.002, 0.500)
S (0.753, 0.749, 0.500)
S (0.754, 0.502, 0.500)
S (0.998, 0.128, 0.255)
S (0.998, 0.128, 0.745)
S (0.999, 0.376, 0.251)
S (0.999, 0.376, 0.749)

Computed properties:
The symmetry is Pnnm. The total energy is -172.40 eV per formula unit. The calculation puts the uncorrected formation energy at -1.358 eV per atom. Its magnetic moment is 0.00 μB/cell.


# 8
MgTi2S | PBEsol | relaxed

a = 9.594 Å, b = 9.594 Å, c = 9.594 Å
α = 156.45°, β = 156.45°, γ = 33.55°
Element x y z (fractional)
Mg (0.000, 0.000, 0.000)
Mg (0.750, 0.250, 0.500)
Ti (0.242, 0.625, 0.117)
Ti (0.375, 0.492, 0.617)
Ti (0.508, 0.125, 0.883)
Ti (0.875, 0.758, 0.383)
S (0.250, 0.750, 0.500)
S (0.500, 0.500, 0.000)

Computed properties:
The symmetry is I-42d. The total energy is -22.62 eV per formula unit. The calculation puts the uncorrected formation energy at 0.031 eV per atom. Its magnetic moment is 0.00 μB/cell.


# 9
Y3Mg2TiS8 | PBEsol | relaxed

a = 7.607 Å, b = 7.607 Å, c = 7.607 Å
α = 61.07°, β = 61.07°, γ = 61.07°
Element x y z (fractional)
Y (0.000, 0.500, 0.500)
Y (0.500, 0.000, 0.500)
Y (0.500, 0.500, 0.000)
Mg (0.124, 0.124, 0.124)
Mg (0.876, 0.876, 0.876)
Ti (0.500, 0.500, 0.500)
S (0.254, 0.254, 0.254)
S (0.268, 0.268, 0.731)
S (0.268, 0.731, 0.268)
S (0.269, 0.732, 0.732)
S (0.731, 0.268, 0.268)
S (0.732, 0.269, 0.732)
S (0.732, 0.732, 0.269)
S (0.746, 0.746, 0.746)

Computed properties:
The symmetry is R-3m. The total energy is -91.74 eV per formula unit. The calculation puts the uncorrected formation energy at -1.746 eV per atom. Its magnetic moment is 1.01 μB/cell.


# 10
Mg3TlS | PBEsol | relaxed

a = 5.198 Å, b = 5.198 Å, c = 5.198 Å
α = 90.00°, β = 90.00°, γ = 90.00°
Element x y z (fractional)
Mg (0.000, 0.000, 0.500)
Mg (0.000, 0.500, 0.000)
Mg (0.500, 0.000, 0.000)
Tl (0.000, 0.000, 0.000)
S (0.500, 0.500, 0.500)

Computed properties:
The symmetry is Pm-3m. The total energy is -10.77 eV per formula unit. The calculation puts the uncorrected formation energy at 0.279 eV per atom. Its magnetic moment is 0.01 μB/cell.


# 11
MgTlS3 | PBEsol | relaxed

a = 4.871 Å, b = 4.871 Å, c = 4.871 Å
α = 90.00°, β = 90.00°, γ = 90.00°
Element x y z (fractional)
Mg (0.000, 0.000, 0.000)
Tl (0.500, 0.500, 0.500)
S (0.000, 0.000, 0.500)
S (0.000, 0.500, 0.000)
S (0.500, 0.000, 0.000)

Computed properties:
The symmetry is Pm-3m. The total energy is -17.57 eV per formula unit. The calculation puts the uncorrected formation energy at -0.014 eV per atom. Its magnetic moment is 2.04 μB/cell.


# 12
MgV4S8 | PBEsol | relaxed

a = 7.404 Å, b = 7.404 Å, c = 7.404 Å
α = 50.46°, β = 50.46°, γ = 50.46°
Element x y z (fractional)
Mg (0.000, 0.000, 0.000)
V (0.000, 0.000, 0.500)
V (0.000, 0.500, 0.000)
V (0.500, 0.000, 0.000)
V (0.500, 0.500, 0.500)
S (0.242, 0.242, 0.242)
S (0.244, 0.742, 0.742)
S (0.258, 0.258, 0.756)
S (0.258, 0.756, 0.258)
S (0.742, 0.244, 0.742)
S (0.742, 0.742, 0.244)
S (0.756, 0.258, 0.258)
S (0.758, 0.758, 0.758)

Computed properties:
The symmetry is R-3m. The total energy is -88.57 eV per formula unit. The calculation puts the uncorrected formation energy at -1.018 eV per atom. Its magnetic moment is 0.00 μB/cell.